# Tb3ErRu2 | Alexandria via LeMat-Bulk | PBE | relaxed
data_Tb3ErRu2
_chemical_formula_sum 'Tb12 Er4 Ru8'
_symmetry_space_group_name_H-M 'I b a m'
_symmetry_Int_Tables_number 72
_symmetry_space_group_name_Hall '-I 2 2c'
_cell_length_a 6.711
_cell_length_b 13.498
_cell_length_c 7.047
_cell_angle_alpha 90.00
_cell_angle_beta 90.00
_cell_angle_gamma 90.00
loop_
_atom_site_label
_atom_site_type_symbol
_atom_site_fract_x
_atom_site_fract_y
_atom_site_fract_z
_atom_site_occupancy
Tb1 Tb 0.000 0.000 0.250 1
Tb2 Tb 0.000 0.266 0.250 1
Er1 Er 0.000 0.500 0.000 1
Ru1 Ru 0.222 0.134 0.000 1
# **Magnetization**: 0.00 μB per cell
# **E_tot**: -6.3999 eV/atom
# **DOS(E_F)**: 0.384 states/eV/atom
# **Calculated volume**: 638.3 Å³ per cell